Entry from Alexandria: a relaxed BaZrW2 crystal (PBE-GGA).

Results
Its total energy is -8.2739 eV per atom. The formation energy is 0.82 eV/atom.

The structure in POSCAR format:
```
BaZrW2
1.0
3.766 0.000 0.000
0.000 3.766 0.000
0.000 0.000 7.334
Ba Zr W
1 1 2
Direct
0.000 0.000 0.000
0.000 0.000 0.500
0.500 0.500 0.339
0.500 0.500 0.661
```

***

Entry from Alexandria: a relaxed BaZrW crystal (PBE-GGA).

Results
Its total energy is -6.4806 eV per atom. The formation energy is 1.33 eV/atom.

The structure in POSCAR format:
```
BaZrW
1.0
6.931 0.000 0.000
0.000 6.931 0.000
0.000 0.000 6.931
Ba Zr W
4 4 4
Direct
0.000 0.000 0.000
0.000 0.500 0.500
0.500 0.000 0.500
0.500 0.500 0.000
0.000 0.000 0.500
0.000 0.500 0.000
0.500 0.000 0.000
0.500 0.500 0.500
0.250 0.250 0.250
0.250 0.750 0.750
0.750 0.250 0.750
0.750 0.750 0.250
```

***

Entry from Alexandria: a relaxed Ba2ZrW crystal (PBE-GGA).

Results
Its total energy is -5.0809 eV per atom. The formation energy is 1.26 eV/atom.

The structure in POSCAR format:
```
Ba2ZrW
1.0
4.470 0.000 0.000
0.000 4.470 0.000
0.000 0.000 5.734
Ba Zr W
2 1 1
Direct
0.000 0.500 0.000
0.500 0.000 0.000
0.000 0.000 0.500
0.500 0.500 0.500
```

***

Entry from Alexandria: a relaxed BaZrW2 crystal (PBE-GGA).

Results
Its total energy is -7.5571 eV per atom. The formation energy is 1.54 eV/atom.

The structure in POSCAR format:
```
BaZrW2
1.0
5.034 0.000 0.000
0.000 5.034 0.000
0.000 0.000 19.342
Ba Zr W
4 4 8
Direct
0.000 0.000 0.000
0.000 0.500 0.250
0.500 0.000 0.750
0.500 0.500 0.500
0.000 0.000 0.500
0.000 0.500 0.750
0.500 0.000 0.250
0.500 0.500 0.000
0.027 0.750 0.625
0.250 0.027 0.375
0.250 0.473 0.875
0.473 0.750 0.125
0.527 0.250 0.125
0.750 0.527 0.875
0.750 0.973 0.375
0.973 0.250 0.625
```

***

Entry from Alexandria: a relaxed BaZrW crystal (PBE-GGA).

Results
Its total energy is -6.9242 eV per atom. The formation energy is 0.88 eV/atom.

The structure in POSCAR format:
```
BaZrW
1.0
3.624 0.000 0.000
0.000 5.121 0.000
0.000 0.000 16.756
Ba Zr W
4 4 4
Direct
0.000 0.000 0.000
0.000 0.500 0.500
0.500 0.000 0.500
0.500 0.500 0.000
0.000 0.000 0.712
0.000 0.500 0.212
0.500 0.000 0.212
0.500 0.500 0.712
0.000 0.000 0.331
0.000 0.500 0.831
0.500 0.000 0.831
0.500 0.500 0.331
```

***

Entry from Alexandria: a relaxed BaZrW2 crystal (PBE-GGA).

Results
Its total energy is -8.2928 eV per atom. The formation energy is 0.80 eV/atom.

The structure in POSCAR format:
```
BaZrW2
1.0
8.282 0.000 0.000
0.000 3.214 0.000
-0.490 0.000 7.881
Ba Zr W
2 2 4
Direct
0.000 0.000 0.000
0.500 0.500 0.000
0.283 0.500 0.373
0.783 0.000 0.373
0.016 0.500 0.560
0.237 0.000 0.692
0.516 0.000 0.560
0.737 0.500 0.692
```